1.
Below is a geometry-optimized Nd8N5 structure, with properties calculated at the PBE level.

Values from the calculation:
Electronic total energy = -92.61 eV/cell
M_tot = 0.0 μB per cell
Crystal system = monoclinic
Theoretical density = 7.20 g cm⁻³
Volume = 282 Å³/cell

a = 7.2234 Å, b = 7.2234 Å, c = 7.2169 Å
α = 104.11°, β = 104.78°, γ = 120.10°
Last column: nearest neighbours and their distance in Å.
Positions (direct):
N1 0.7473 0.2473 0.5000  6 Nd 2.50-2.61
N2 0.7420 0.7445 0.4866  6 Nd 2.45-2.54
N3 0.2580 0.2555 0.5134  6 Nd 2.45-2.54
N4 0.0000 0.0000 0.0000  6 Nd 2.59-2.63
N5 0.2527 0.7527 0.5000  6 Nd 2.50-2.61
Nd1 0.8141 0.9731 0.2640  4 N 2.53-2.61
Nd2 0.8076 0.4760 0.2836  3 N 2.45-2.50
Nd3 0.1924 0.5240 0.7164  3 N 2.45-2.50
Nd4 0.7090 0.5501 0.7360  4 N 2.53-2.61
Nd5 0.2910 0.4499 0.2640  4 N 2.53-2.61
Nd6 0.2976 0.9787 0.2763  4 N 2.48-2.63
Nd7 0.7024 0.0213 0.7237  4 N 2.48-2.63
Nd8 0.1859 0.0269 0.7360  4 N 2.53-2.61

=====

2.
Below is a geometry-optimized Nd6N5 structure, with properties calculated at the PBE level.

Values from the calculation:
Electronic total energy = -84.01 eV/cell
M_tot = 0.9 μB per cell
Crystal system = monoclinic
Theoretical density = 7.43 g cm⁻³
Volume = 209 Å³/cell

a = 6.3512 Å, b = 6.3644 Å, c = 6.3541 Å
α = 120.05°, β = 99.80°, γ = 70.12°
Last column: nearest neighbours and their distance in Å.
Positions (direct):
Nd1 0.7456 0.0846 0.6472  5 N 2.43-2.64
Nd2 0.7347 0.7336 0.0000  5 N 2.44-2.64
Nd3 0.2653 0.2664 0.0000  5 N 2.44-2.64
Nd4 0.2544 0.9154 0.3528  5 N 2.43-2.64
Nd5 0.2544 0.5626 0.6472  5 N 2.43-2.64
Nd6 0.7456 0.4374 0.3528  5 N 2.43-2.64
N1 0.0000 0.6657 0.3313  6 Nd 2.56-2.58
N2 0.5000 0.5000 0.0000  6 Nd 2.44-2.63
N3 0.5000 0.8282 0.6563  6 Nd 2.43-2.64
N4 0.0000 0.3343 0.6687  6 Nd 2.56-2.58
N5 0.5000 0.1718 0.3437  6 Nd 2.43-2.64

=====

3.
Below is a geometry-optimized Nd4N3 structure, with properties calculated at the PBE level.

Values from the calculation:
Electronic total energy = -51.89 eV/cell
M_tot = 0.0 μB per cell
Crystal system = cubic
Theoretical density = 7.49 g cm⁻³
Volume = 137 Å³/cell

a = 5.1576 Å, b = 5.1576 Å, c = 5.1576 Å
α = 90.00°, β = 90.00°, γ = 90.00°
Last column: nearest neighbours and their distance in Å.
Positions (direct):
Nd1 0.5000 0.0000 0.5000  4 N 2.58
Nd2 0.5000 0.5000 0.0000  4 N 2.58
Nd3 0.0000 0.0000 0.0000  6 N 2.58
Nd4 0.0000 0.5000 0.5000  4 N 2.58
N1 0.0000 0.0000 0.5000  6 Nd 2.58
N2 0.0000 0.5000 0.0000  6 Nd 2.58
N3 0.5000 0.0000 0.0000  6 Nd 2.58

=====

4.
Below is a geometry-optimized Nd5N4 structure, with properties calculated at the PBE level.

Values from the calculation:
ΔE to the lowest computed polymorph = 0 meV/atom
M_tot = 0.0 μB per cell
Crystal system = tetragonal
Theoretical density = 6.46 g cm⁻³
Volume = 200 Å³/cell

a = 3.7971 Å, b = 7.5002 Å, c = 7.5002 Å
α = 86.33°, β = 75.34°, γ = 75.34°
Last column: nearest neighbours and their distance in Å.
Positions (direct):
Nd1 0.2378 0.1582 0.3661  3 N 2.32-2.44
Nd2 0.3960 0.3661 0.8418  3 N 2.32-2.44
Nd3 0.6040 0.6339 0.1582  3 N 2.32-2.44
Nd4 0.0000 0.0000 0.0000  4 N 2.44
Nd5 0.7622 0.8418 0.6339  3 N 2.32-2.44
N1 0.1413 0.0503 0.6670  4 Nd 2.32-2.44
N2 0.1917 0.6670 0.9497  4 Nd 2.32-2.44
N3 0.8083 0.3330 0.0503  4 Nd 2.32-2.44
N4 0.8587 0.9497 0.3330  4 Nd 2.32-2.44

=====

5.
Below is a geometry-optimized NdN4 structure, with properties calculated at the PBE level.

Values from the calculation:
ΔE to the lowest computed polymorph = 0 meV/atom
M_tot = 0.0 μB per cell
Crystal system = triclinic
Theoretical density = 4.22 g cm⁻³
Volume = 158 Å³/cell

a = 4.0760 Å, b = 6.7719 Å, c = 7.8167 Å
α = 120.82°, β = 82.72°, γ = 120.16°
Last column: nearest neighbours and their distance in Å.
Positions (direct):
N1 0.9603 0.5846 0.5596  1 N 1.20
N2 0.3257 0.4878 0.0134  1 N 1.17
N3 0.8209 0.9111 0.4542  1 N 1.25
N4 0.7064 0.1705 0.0900  1 N 1.17
N5 0.9939 0.0798 0.4015  1 N 1.25
N6 0.1148 0.4206 0.8813  1 N 1.17
N7 0.4928 0.1103 0.9622  1 N 1.17
N8 0.7468 0.6284 0.6734  1 N 1.20
Nd1 0.5296 0.1962 0.6468  8 N 2.44-2.73
Nd2 0.3088 0.4106 0.3177  4 N 2.34-2.59

=====

6.
Below is a geometry-optimized Nd5N4 structure, with properties calculated at the PBE level.

Values from the calculation:
ΔE to the lowest computed polymorph = 721 meV/atom
M_tot = 0.0 μB per cell
Crystal system = tetragonal
Theoretical density = 6.81 g cm⁻³
Volume = 189 Å³/cell

a = 3.2243 Å, b = 7.8331 Å, c = 7.8331 Å
α = 87.57°, β = 78.12°, γ = 78.12°
Last column: nearest neighbours and their distance in Å.
Positions (direct):
Nd1 0.0000 0.0000 0.0000  8 N 2.66, 4 Nd 2.80
Nd2 0.0000 0.7414 0.2586  4 N 2.56, 1 Nd 2.80
Nd3 0.7414 0.2586 0.2586  4 N 2.56, 1 Nd 2.80
Nd4 0.2586 0.7414 0.7414  4 N 2.56, 1 Nd 2.80
Nd5 0.0000 0.2586 0.7414  4 N 2.56, 1 Nd 2.80
N1 0.6382 0.7236 0.0000  6 Nd 2.56-2.66
N2 0.3618 0.0000 0.2764  6 Nd 2.56-2.66
N3 0.3618 0.2764 0.0000  6 Nd 2.56-2.66
N4 0.6382 0.0000 0.7236  6 Nd 2.56-2.66

=====

7.
Below is a geometry-optimized Nd2NiN structure, with properties calculated at the PBE level.

Values from the calculation:
Electronic total energy = -26.11 eV/cell
M_tot = 0.0 μB per cell
Crystal system = trigonal
Theoretical density = 7.46 g cm⁻³
Volume = 80 Å³/cell

a = 3.6940 Å, b = 3.6940 Å, c = 7.1263 Å
α = 74.98°, β = 74.98°, γ = 60.00°
Last column: nearest neighbours and their distance in Å.
Positions (direct):
Nd1 0.2375 0.2375 0.2874  3 N 2.58
Nd2 0.7625 0.7625 0.7126  3 N 2.58
Ni1 0.0000 0.0000 0.0000  6 Nd 2.89
N1 0.5000 0.5000 0.5000  6 Nd 2.58

=====

8.
Below is a geometry-optimized Nd12Ni3N5 structure, with properties calculated at the PBE level.

Values from the calculation:
Electronic total energy = -513.20 eV/cell
M_tot = 0.0 μB per cell
Crystal system = cubic
Theoretical density = 6.78 g cm⁻³
Volume = 1937 Å³/cell

a = 13.6025 Å, b = 13.6025 Å, c = 13.6025 Å
α = 109.47°, β = 109.47°, γ = 109.47°
Last column: nearest neighbours and their distance in Å.
Positions (direct):
Nd1 0.9759 0.3813 0.2943  2 N 2.32-2.56
Nd2 0.3813 0.9759 0.7943  2 N 2.32-2.56
Nd3 0.2943 0.4130 0.8184  2 N 2.32-2.56
Nd4 0.4759 0.6816 0.0946  2 N 2.32-2.56
Nd5 0.0870 0.9054 0.3813  2 N 2.32-2.56
Nd6 0.8184 0.9054 0.0241  2 N 2.32-2.56
Nd7 0.5241 0.2057 0.1187  2 N 2.32-2.56
Nd8 0.8813 0.5870 0.9054  2 N 2.32-2.56
Nd9 0.9054 0.0870 0.8813  2 N 2.32-2.56
Nd10 0.1187 0.4130 0.0946  2 N 2.32-2.56
Nd11 0.4130 0.2943 0.3184  2 N 2.32-2.56
Nd12 0.7057 0.5870 0.1816  2 N 2.32-2.56
Nd13 0.0241 0.6187 0.7057  2 N 2.32-2.56
Nd14 0.5870 0.8813 0.4054  2 N 2.32-2.56
Nd15 0.6816 0.2057 0.5870  2 N 2.32-2.56
Nd16 0.3184 0.5241 0.4054  2 N 2.32-2.56
Nd17 0.3184 0.7943 0.4130  2 N 2.32-2.56
Nd18 0.5241 0.3184 0.9054  2 N 2.32-2.56
Nd19 0.0946 0.1816 0.4759  2 N 2.32-2.56
Nd20 0.1816 0.0946 0.9759  2 N 2.32-2.56
Nd21 0.4759 0.7943 0.8813  2 N 2.32-2.56
Nd22 0.6816 0.4759 0.5946  2 N 2.32-2.56
Nd23 0.8813 0.2943 0.4759  2 N 2.32-2.56
Nd24 0.4130 0.1187 0.5946  2 N 2.32-2.56
Nd25 0.8184 0.9130 0.2943  2 N 2.32-2.56
Nd26 0.9054 0.8184 0.5241  2 N 2.32-2.56
Nd27 0.3813 0.4054 0.0870  2 N 2.32-2.56
Nd28 0.5870 0.7057 0.6816  2 N 2.32-2.56
Nd29 0.7943 0.3184 0.9130  2 N 2.32-2.56
Nd30 0.6187 0.0241 0.2057  2 N 2.32-2.56
Nd31 0.7943 0.4759 0.3813  2 N 2.32-2.56
Nd32 0.0870 0.1816 0.2057  2 N 2.32-2.56
Nd33 0.9130 0.8184 0.7943  2 N 2.32-2.56
Nd34 0.5946 0.6187 0.4130  2 N 2.32-2.56
Nd35 0.9130 0.0946 0.6187  2 N 2.32-2.56
Nd36 0.4054 0.0241 0.3184  2 N 2.32-2.56
Nd37 0.1187 0.7057 0.5241  2 N 2.32-2.56
Nd38 0.0241 0.4054 0.8184  2 N 2.32-2.56
Nd39 0.2057 0.6816 0.0870  2 N 2.32-2.56
Nd40 0.5946 0.9759 0.6816  2 N 2.32-2.56
Nd41 0.2057 0.5241 0.6187  2 N 2.32-2.56
Nd42 0.1816 0.0870 0.7057  2 N 2.32-2.56
Nd43 0.4054 0.3813 0.5870  2 N 2.32-2.56
Nd44 0.7057 0.1187 0.0241  2 N 2.32-2.56
Nd45 0.0946 0.9130 0.1187  2 N 2.32-2.56
Nd46 0.6187 0.5946 0.9130  2 N 2.32-2.56
Nd47 0.9759 0.5946 0.1816  2 N 2.32-2.56
Nd48 0.2943 0.8813 0.9759  2 N 2.32-2.56
Ni1 0.1250 0.2500 0.8750  8 Nd 3.04-3.12
Ni2 0.6250 0.2500 0.3750  8 Nd 3.04-3.12
Ni3 0.2500 0.6250 0.8750  8 Nd 3.04-3.12
Ni4 0.7500 0.8750 0.6250  8 Nd 3.04-3.12
Ni5 0.6250 0.3750 0.7500  8 Nd 3.04-3.12
Ni6 0.2500 0.1250 0.3750  8 Nd 3.04-3.12
Ni7 0.1250 0.8750 0.7500  8 Nd 3.04-3.12
Ni8 0.3750 0.7500 0.6250  8 Nd 3.04-3.12
Ni9 0.3750 0.6250 0.2500  8 Nd 3.04-3.12
Ni10 0.8750 0.7500 0.1250  8 Nd 3.04-3.12
Ni11 0.7500 0.3750 0.1250  8 Nd 3.04-3.12
Ni12 0.8750 0.1250 0.2500  8 Nd 3.04-3.12
N1 0.8750 0.2500 0.6250  4 Nd 2.32
N2 0.1250 0.7500 0.3750  4 Nd 2.32
N3 0.7500 0.6250 0.3750  4 Nd 2.32
N4 0.6250 0.7500 0.8750  4 Nd 2.32
N5 0.0000 0.5000 0.0000  6 Nd 2.56
N6 0.8750 0.6250 0.7500  4 Nd 2.32
N7 0.2500 0.3750 0.6250  4 Nd 2.32
N8 0.5000 0.0000 0.5000  6 Nd 2.56
N9 0.0000 0.0000 0.5000  6 Nd 2.56
N10 0.0000 0.5000 0.5000  6 Nd 2.56
N11 0.7500 0.1250 0.8750  4 Nd 2.32
N12 0.5000 0.5000 0.0000  6 Nd 2.56
N13 0.1250 0.3750 0.2500  4 Nd 2.32
N14 0.0000 0.0000 0.0000  6 Nd 2.56
N15 0.2500 0.8750 0.1250  4 Nd 2.32
N16 0.6250 0.8750 0.2500  4 Nd 2.32
N17 0.5000 0.5000 0.5000  6 Nd 2.56
N18 0.3750 0.2500 0.1250  4 Nd 2.32
N19 0.5000 0.0000 0.0000  6 Nd 2.56
N20 0.3750 0.1250 0.7500  4 Nd 2.32

=====

9.
Below is a geometry-optimized NdNp2NiN4 structure, with properties calculated at the PBE level.

Values from the calculation:
Electronic total energy = -156.02 eV/cell
M_tot = 10.0 μB per cell
Crystal system = orthorhombic
Theoretical density = 11.01 g cm⁻³
Volume = 221 Å³/cell

a = 3.4729 Å, b = 5.8613 Å, c = 11.3697 Å
α = 90.00°, β = 90.00°, γ = 107.23°
Last column: nearest neighbours and their distance in Å.
Positions (direct):
N1 0.7369 0.4737 0.8911  1 Ni 1.95
N2 0.0000 0.0000 0.0000  4 Np 2.36
N3 0.0000 0.0000 0.5000  4 Np 2.36
N4 0.2631 0.5263 0.3911  1 Ni 1.95
N5 0.4399 0.8798 0.7500  2 Ni 2.09, 2 Np 2.32
N6 0.7369 0.4737 0.6089  1 Ni 1.95
N7 0.5601 0.1202 0.2500  2 Ni 2.09, 2 Np 2.32
N8 0.2631 0.5263 0.1089  1 Ni 1.95
Ni1 0.8366 0.6732 0.7500  4 N 1.95-2.09
Ni2 0.1634 0.3268 0.2500  4 N 1.95-2.09
Np1 0.6297 0.2594 0.4422  6 N 2.24-2.36
Np2 0.3703 0.7406 0.5578  6 N 2.24-2.36
Np3 0.3703 0.7406 0.9422  6 N 2.24-2.36
Np4 0.6297 0.2594 0.0578  6 N 2.24-2.36
Nd1 0.1027 0.2054 0.7500  6 N 2.52-2.80
Nd2 0.8973 0.7946 0.2500  6 N 2.52-2.80